(1)
# Sr2Li3Cd12Hg

A relaxed Sr2Li3Cd12Hg crystal (GGA-PBE, the Alexandria database).

Output
DOS(E_F): 6.224 states/eV/cell
theoretical density: 6.43 Mg/m³
total energy: -1.236 eV/atom

Geometry as POSCAR:
```
Sr2Li3Cd12Hg
1.0
5.202 3.004 4.806
-5.202 3.004 4.806
0.000 -6.007 4.806
Sr Li Cd Hg
2 3 12 1
Direct
0.243 0.243 0.243 Sr
0.757 0.757 0.757 Sr
0.000 0.500 0.500 Li
0.500 0.000 0.500 Li
0.500 0.500 0.000 Li
0.074 0.074 0.648 Cd
0.074 0.648 0.074 Cd
0.219 0.698 0.698 Cd
0.302 0.302 0.781 Cd
0.302 0.781 0.302 Cd
0.352 0.926 0.926 Cd
0.648 0.074 0.074 Cd
0.698 0.219 0.698 Cd
0.698 0.698 0.219 Cd
0.781 0.302 0.302 Cd
0.926 0.352 0.926 Cd
0.926 0.926 0.352 Cd
0.500 0.500 0.500 Hg
```

(2)
# Ho2NiBPt6

A relaxed Ho2NiBPt6 crystal (GGA-PBE, the Alexandria database).

Output
DOS(E_F): 7.677 states/eV/cell
theoretical density: 14.87 Mg/m³
total energy: -6.575 eV/atom

Geometry as POSCAR:
```
Ho2NiBPt6
1.0
2.782 1.606 6.541
-2.782 1.606 6.541
0.000 -3.212 6.541
Ho Ni B Pt
2 1 1 6
Direct
0.206 0.206 0.206 Ho
0.794 0.794 0.794 Ho
0.500 0.500 0.500 Ni
0.000 0.000 0.000 B
0.238 0.238 0.724 Pt
0.238 0.724 0.238 Pt
0.276 0.762 0.762 Pt
0.724 0.238 0.238 Pt
0.762 0.276 0.762 Pt
0.762 0.762 0.276 Pt
```

(3)
# ScCuOs2

A relaxed ScCuOs2 crystal (GGA-PBE, the Alexandria database).

Output
relative energy among the computed polymorphs: 119.8 meV per atom
DOS(E_F): 3.036 states/eV/cell
theoretical density: 13.42 Mg/m³

Geometry as POSCAR:
```
ScCuOs2
1.0
-1.514 2.198 4.546
1.514 -2.198 4.546
1.514 2.198 -4.546
Sc Cu Os
1 1 2
Direct
0.000 0.000 0.000 Sc
0.263 0.763 0.500 Cu
0.506 0.506 0.000 Os
0.740 0.240 0.500 Os
```

(4)
# CsPIr3

A relaxed CsPIr3 crystal (GGA-PBE, the Alexandria database).

Output
relative energy among the computed polymorphs: 2564.2 meV per atom
DOS(E_F): 8.239 states/eV/cell
theoretical density: 9.93 Mg/m³

Geometry as POSCAR:
```
CsPIr3
1.0
4.984 0.000 0.000
0.000 4.984 0.000
0.000 0.000 4.984
Cs P Ir
1 1 3
Direct
0.000 0.000 0.000 Cs
0.500 0.500 0.500 P
0.000 0.000 0.500 Ir
0.000 0.500 0.000 Ir
0.500 0.000 0.000 Ir
```